No. 1
# CeGa3Rh (PBE-GGA, relaxed)
data_CeGa3Rh
_chemical_formula_sum 'Ce3 Ga9 Rh3'
_cell_length_a 6.5059
_cell_length_b 6.5059
_cell_length_c 6.5059
_cell_angle_alpha 90.00
_cell_angle_beta 90.00
_cell_angle_gamma 90.00
_space_group_name_H-M_alt 'P m -3 m'
_space_group_IT_number 221
_space_group_name_Hall '-P 4 2 3'
loop_
_atom_site_label
_atom_site_type_symbol
_atom_site_fract_x
_atom_site_fract_y
_atom_site_fract_z
Ce1 Ce 0.0000 0.0000 0.5000
Ga1 Ga 0.0000 0.0000 0.0000
Ga2 Ga 0.2899 0.2899 0.2899
Rh1 Rh 0.0000 0.5000 0.5000
# Formation energy ... -0.705 eV per atom

---

No. 2
# Ce2GaRh2 (PBE-GGA, relaxed)
data_Ce2GaRh2
_chemical_formula_sum 'Ce8 Ga4 Rh8'
_cell_length_a 10.0307
_cell_length_b 5.3868
_cell_length_c 8.0428
_cell_angle_alpha 90.00
_cell_angle_beta 107.84
_cell_angle_gamma 90.00
_space_group_name_H-M_alt 'C 1 2/c 1'
_space_group_IT_number 15
loop_
_space_group_symop_operation_xyz
'x,y,z'
'-x,-y,-z'
'-x,y,-z+1/2'
'x,-y,z+1/2'
'x+1/2,y+1/2,z'
'-x+1/2,-y+1/2,-z'
'-x+1/2,y+1/2,-z+1/2'
'x+1/2,-y+1/2,z+1/2'
loop_
_atom_site_label
_atom_site_type_symbol
_atom_site_fract_x
_atom_site_fract_y
_atom_site_fract_z
Ce1 Ce 0.1476 0.1598 0.1490
Ga1 Ga 0.0000 0.3377 0.7500
Rh1 Rh 0.1316 0.3635 0.5160
# Formation energy ... -0.790 eV per atom

---

No. 3
# Ce3Ga4Rh2 (PBE-GGA, relaxed)
data_Ce3Ga4Rh2
_chemical_formula_sum 'Ce6 Ga8 Rh4'
_cell_length_a 10.9043
_cell_length_b 4.3793
_cell_length_c 8.4763
_cell_angle_alpha 90.00
_cell_angle_beta 114.54
_cell_angle_gamma 90.00
_space_group_name_H-M_alt 'C 1 2/m 1'
_space_group_IT_number 12
loop_
_space_group_symop_operation_xyz
'x,y,z'
'-x,-y,-z'
'-x,y,-z'
'x,-y,z'
'x+1/2,y+1/2,z'
'-x+1/2,-y+1/2,-z'
'-x+1/2,y+1/2,-z'
'x+1/2,-y+1/2,z'
loop_
_atom_site_label
_atom_site_type_symbol
_atom_site_fract_x
_atom_site_fract_y
_atom_site_fract_z
Ce1 Ce 0.0000 0.0000 0.0000
Ce2 Ce 0.1848 0.5000 0.6372
Ga1 Ga 0.0140 0.0000 0.3542
Ga2 Ga 0.2406 0.5000 0.0794
Rh1 Rh 0.1038 0.5000 0.2704
# Formation energy ... -0.754 eV per atom

---

No. 4
# Ce11Ga9Rh4 (PBE-GGA, relaxed)
data_Ce11Ga9Rh4
_chemical_formula_sum 'Ce22 Ga18 Rh8'
_cell_length_a 13.8201
_cell_length_b 20.6597
_cell_length_c 3.7384
_cell_angle_alpha 90.00
_cell_angle_beta 90.00
_cell_angle_gamma 90.00
_space_group_name_H-M_alt 'C m m m'
_space_group_IT_number 65
_space_group_name_Hall '-C 2 2'
loop_
_atom_site_label
_atom_site_type_symbol
_atom_site_fract_x
_atom_site_fract_y
_atom_site_fract_z
Ce1 Ce 0.0000 0.0000 0.0000
Ce2 Ce 0.0000 0.1587 0.0000
Ce3 Ce 0.0000 0.3719 0.0000
Ce4 Ce 0.1945 0.5000 0.0000
Ce5 Ce 0.2355 0.1803 0.0000
Ga1 Ga 0.0000 0.5000 0.5000
Ga2 Ga 0.0994 0.2672 0.5000
Ga3 Ga 0.1487 0.0723 0.5000
Rh1 Rh 0.1564 0.3989 0.5000
# Formation energy ... -0.659 eV per atom

---

No. 5
# Ce3Ga2Rh6 (PBE-GGA, relaxed)
data_Ce3Ga2Rh6
_chemical_formula_sum 'Ce12 Ga8 Rh24'
_cell_length_a 9.3721
_cell_length_b 9.3721
_cell_length_c 9.3721
_cell_angle_alpha 90.00
_cell_angle_beta 90.00
_cell_angle_gamma 90.00
_space_group_name_H-M_alt 'I m -3 m'
_space_group_IT_number 229
_space_group_name_Hall '-I 4 2 3'
loop_
_atom_site_label
_atom_site_type_symbol
_atom_site_fract_x
_atom_site_fract_y
_atom_site_fract_z
Ce1 Ce 0.0000 0.0000 0.2899
Ga1 Ga 0.2500 0.2500 0.2500
Rh1 Rh 0.0000 0.3494 0.3494
# Formation energy ... -0.734 eV per atom

---

No. 6
# CeGa2Rh (PBE-GGA, relaxed)
data_CeGa2Rh
_chemical_formula_sum 'Ce1 Ga2 Rh1'
_cell_length_a 3.1650
_cell_length_b 3.1650
_cell_length_c 7.1994
_cell_angle_alpha 90.00
_cell_angle_beta 90.00
_cell_angle_gamma 90.00
_space_group_name_H-M_alt 'P 4/m m m'
_space_group_IT_number 123
_space_group_name_Hall '-P 4 2'
loop_
_atom_site_label
_atom_site_type_symbol
_atom_site_fract_x
_atom_site_fract_y
_atom_site_fract_z
Ce1 Ce 0.0000 0.0000 0.0000
Ga1 Ga 0.5000 0.5000 0.3043
Rh1 Rh 0.0000 0.0000 0.5000
# Formation energy ... -0.577 eV per atom

---

No. 7
# Ce2Ga2Rh3 (PBE-GGA, relaxed)
data_Ce2Ga2Rh3
_chemical_formula_sum 'Ce4 Ga4 Rh6'
_cell_length_a 12.5332
_cell_length_b 4.3857
_cell_length_c 5.2174
_cell_angle_alpha 90.00
_cell_angle_beta 90.90
_cell_angle_gamma 90.00
_space_group_name_H-M_alt 'C 1 2/m 1'
_space_group_IT_number 12
loop_
_space_group_symop_operation_xyz
'x,y,z'
'-x,-y,-z'
'-x,y,-z'
'x,-y,z'
'x+1/2,y+1/2,z'
'-x+1/2,-y+1/2,-z'
'-x+1/2,y+1/2,-z'
'x+1/2,-y+1/2,z'
loop_
_atom_site_label
_atom_site_type_symbol
_atom_site_fract_x
_atom_site_fract_y
_atom_site_fract_z
Ce1 Ce 0.1427 0.0000 0.3729
Ga1 Ga 0.1051 0.5000 0.8962
Rh1 Rh 0.0000 0.0000 0.0000
Rh2 Rh 0.2137 0.0000 0.8268
# Formation energy ... -0.769 eV per atom

---

No. 8
# Ce3Ga2Rh2 (PBE-GGA, relaxed)
data_Ce3Ga2Rh2
_chemical_formula_sum 'Ce12 Ga8 Rh8'
_cell_length_a 5.6012
_cell_length_b 8.0694
_cell_length_c 13.4455
_cell_angle_alpha 90.00
_cell_angle_beta 90.00
_cell_angle_gamma 90.00
_space_group_name_H-M_alt 'P b c m'
_space_group_IT_number 57
loop_
_space_group_symop_operation_xyz
'x,y,z'
'-x,-y,-z'
'-x,-y,z+1/2'
'x,y,-z+1/2'
'x,-y+1/2,-z'
'-x,y+1/2,z'
'-x,y+1/2,-z+1/2'
'x,-y+1/2,z+1/2'
loop_
_atom_site_label
_atom_site_type_symbol
_atom_site_fract_x
_atom_site_fract_y
_atom_site_fract_z
Ce1 Ce 0.1287 0.2341 0.2500
Ce2 Ce 0.3424 0.6000 0.0959
Ga1 Ga 0.1630 0.2500 0.0000
Ga2 Ga 0.3757 0.6132 0.7500
Rh1 Rh 0.1292 0.5377 0.5933
# Formation energy ... -0.722 eV per atom